This record from Alexandria via LeMat-Bulk describes a geometry-optimized SmGa8Fe4 structure. The functional is PBE.

Calculated values
DFT formation energy in eV per atom: -0.283

abc: 5.070 6.689 6.689
angles: 81.74 67.73 67.73
Each line ends with the local moment (μB).
Positions (direct):
1 Sm 0.000 0.000 0.000  -0.07
2 Ga 0.000 0.341 0.659  -0.04
3 Ga 0.000 0.659 0.341  -0.04
4 Ga 0.341 0.659 0.659  -0.04
5 Ga 0.659 0.341 0.341  -0.04
6 Ga 0.500 0.776 0.224  -0.05
7 Ga 0.500 0.224 0.776  -0.05
8 Ga 0.276 0.224 0.224  -0.05
9 Ga 0.724 0.776 0.776  -0.05
10 Fe 0.000 0.000 0.500  1.70
11 Fe 0.500 0.000 0.500  1.70
12 Fe 0.000 0.500 0.000  1.70
13 Fe 0.500 0.500 0.000  1.70


This record from Alexandria via LeMat-Bulk describes a geometry-optimized SmGa2Fe structure. The functional is PBE.

Calculated values
DFT formation energy in eV per atom: -0.318

abc: 4.116 4.116 5.674
angles: 68.73 68.73 60.00
Positions (direct):
1 Ga 0.790 0.790 0.629
2 Ga 0.210 0.210 0.371
3 Sm 0.000 0.000 0.000
4 Fe 0.500 0.500 0.500


This record from Alexandria via LeMat-Bulk describes a geometry-optimized SmGa6Fe6 structure. The functional is PBE.

Calculated values
DFT formation energy in eV per atom: -0.297

abc: 6.589 6.589 6.589
angles: 135.03 99.16 97.67
Each line ends with the local moment (μB).
Positions (direct):
1 Sm 0.000 0.000 0.000  -0.14
2 Ga 0.335 0.000 0.335  -0.06
3 Ga 0.665 0.000 0.665  -0.06
4 Ga 0.346 0.346 0.000  -0.07
5 Ga 0.654 0.654 0.000  -0.07
6 Ga 0.812 0.312 0.500  -0.08
7 Ga 0.188 0.688 0.500  -0.08
8 Fe 0.000 0.500 0.000  1.94
9 Fe 0.000 0.000 0.500  1.94
10 Fe 0.500 0.000 0.000  1.94
11 Fe 0.500 0.500 0.500  1.94
12 Fe 0.757 0.500 0.257  2.01
13 Fe 0.243 0.500 0.743  2.01


This record from Alexandria via LeMat-Bulk describes a geometry-optimized GaFeSn structure. The functional is PBE.

Calculated values
DFT formation energy in eV per atom: -0.025

abc: 5.914 5.907 6.522
angles: 90.00 116.92 90.00
Positions (direct):
1 Sn 0.642 0.000 0.785
2 Sn 0.858 0.500 0.215
3 Sn 0.358 0.000 0.215
4 Sn 0.142 0.500 0.785
5 Ga 0.880 0.000 0.259
6 Ga 0.620 0.500 0.741
7 Ga 0.120 0.000 0.741
8 Ga 0.380 0.500 0.259
9 Fe 0.750 0.750 0.500
10 Fe 0.750 0.250 0.500
11 Fe 0.250 0.250 0.500
12 Fe 0.250 0.750 0.500


This record from Alexandria via LeMat-Bulk describes a geometry-optimized Ga2FeSn structure. The functional is PBE.

Calculated values
DFT formation energy in eV per atom: 0.226

abc: 4.216 4.216 9.195
angles: 76.75 76.75 90.00
Each line ends with the local moment (μB).
Positions (direct):
1 Sn 0.000 0.000 0.000  -0.02
2 Sn 0.750 0.250 0.500  -0.02
3 Ga 0.550 0.125 0.250  -0.04
4 Ga 0.200 0.625 0.250  -0.04
5 Ga 0.375 0.450 0.750  -0.04
6 Ga 0.875 0.800 0.750  -0.04
7 Fe 0.500 0.500 0.000  2.42
8 Fe 0.250 0.750 0.500  2.42


This record from Alexandria via LeMat-Bulk describes a geometry-optimized GaFeSn2 structure. The functional is PBE.

Calculated values
DFT formation energy in eV per atom: 0.215

abc: 3.264 3.264 9.322
angles: 79.92 79.92 60.00
Each line ends with the local moment (μB).
Positions (direct):
1 Sn 0.099 0.099 0.702  -0.06
2 Sn 0.901 0.901 0.298  -0.06
3 Ga 0.000 0.000 0.000  -0.03
4 Fe 0.500 0.500 0.500  1.80


This record from Alexandria via LeMat-Bulk describes a geometry-optimized GaFeSn2Te structure. The functional is PBE.

Calculated values
Uncorrected formation energy in eV per atom: 0.02

abc: 5.033 5.033 4.696
angles: 90.00 90.00 90.00
Each line ends with the local moment (μB).
Positions (direct):
1 Te 0.500 0.500 0.500  0.05
2 Sn 0.000 0.500 0.000  -0.02
3 Sn 0.500 0.000 0.000  -0.02
4 Ga 0.000 0.000 0.500  -0.01
5 Fe 0.000 0.000 0.000  0.45


This record from Alexandria via LeMat-Bulk describes a geometry-optimized TlGa2FeSn structure. The functional is PBE.

Calculated values
DFT formation energy in eV per atom: 0.036

abc: 4.721 4.721 4.985
angles: 90.00 90.00 90.00
Each line ends with the local moment (μB).
Positions (direct):
1 Tl 0.500 0.500 0.500  0.03
2 Sn 0.000 0.000 0.500  -0.01
3 Ga 0.000 0.500 0.000  -0.04
4 Ga 0.500 0.000 0.000  -0.04
5 Fe 0.000 0.000 0.000  0.92


This record from Alexandria via LeMat-Bulk describes a geometry-optimized SrGaFe3 structure. The functional is PBE.

Calculated values
DFT formation energy in eV per atom: 0.719
ΔE to the lowest computed polymorph in meV per atom: 0.0

abc: 4.669 4.669 4.669
angles: 90.00 90.00 90.00
Each line ends with the local moment (μB).
Positions (direct):
1 Sr 0.500 0.500 0.500  -0.07
2 Fe 0.000 0.500 0.000  2.87
3 Fe 0.000 0.000 0.500  2.73
4 Fe 0.500 0.000 0.000  2.68
5 Ga 0.000 0.000 0.000  -0.14


This record from Alexandria via LeMat-Bulk describes a geometry-optimized Sr3GaFe structure. The functional is PBE.

Calculated values
DFT formation energy in eV per atom: 0.518

abc: 5.513 5.513 5.513
angles: 90.00 90.00 90.00
Positions (direct):
1 Sr 0.000 0.500 0.000
2 Sr 0.000 0.000 0.500
3 Sr 0.500 0.000 0.000
4 Fe 0.000 0.000 0.000
5 Ga 0.500 0.500 0.500


This record from Alexandria via LeMat-Bulk describes a geometry-optimized Sr2Ga4Fe structure. The functional is PBE.

Calculated values
DFT formation energy in eV per atom: -0.272

abc: 4.636 4.636 8.737
angles: 74.62 74.62 90.00
Each line ends with the local moment (μB).
Positions (direct):
1 Sr 0.655 0.655 0.690  0.02
2 Sr 0.345 0.345 0.310  0.02
3 Fe 0.000 0.000 0.000  1.05
4 Ga 0.855 0.855 0.290  0.00
5 Ga 0.145 0.145 0.710  0.00
6 Ga 0.000 0.500 0.000  -0.04
7 Ga 0.500 0.000 0.000  -0.04


This record from Alexandria via LeMat-Bulk describes a geometry-optimized SrGa3Fe structure. The functional is PBE.

Calculated values
DFT formation energy in eV per atom: -0.303

abc: 4.539 4.539 4.539
angles: 90.00 90.00 90.00
Each line ends with the local moment (μB).
Positions (direct):
1 Sr 0.500 0.500 0.500  0.05
2 Fe 0.000 0.000 0.000  0.59
3 Ga 0.000 0.500 0.000  -0.01
4 Ga 0.000 0.000 0.500  -0.01
5 Ga 0.500 0.000 0.000  -0.03


This record from Alexandria via LeMat-Bulk describes a geometry-optimized SrGaFe3 structure. The functional is PBE.

Calculated values
DFT formation energy in eV per atom: 2.161
ΔE to the lowest computed polymorph in meV per atom: 1442.1

abc: 4.765 4.765 4.765
angles: 90.00 90.00 90.00
Each line ends with the local moment (μB).
Positions (direct):
1 Sr 0.000 0.000 0.000  0.21
2 Fe 0.000 0.500 0.000  -2.55
3 Fe 0.000 0.000 0.500  -2.46
4 Fe 0.500 0.000 0.000  -2.70
5 Ga 0.500 0.500 0.500  0.01


This record from Alexandria via LeMat-Bulk describes a geometry-optimized SrGa2Fe2 structure. The functional is PBE.

Calculated values
DFT formation energy in eV per atom: 0.180

abc: 7.797 7.797 2.761
angles: 90.00 90.00 90.00
Each line ends with the local moment (μB).
Positions (direct):
1 Sr 0.000 0.000 0.000  -0.12
2 Sr 0.500 0.500 0.000  -0.12
3 Fe 0.153 0.653 0.500  2.10
4 Fe 0.653 0.847 0.500  2.12
5 Fe 0.847 0.347 0.500  2.10
6 Fe 0.347 0.153 0.500  2.12
7 Ga 0.367 0.867 0.000  -0.11
8 Ga 0.867 0.633 0.000  -0.11
9 Ga 0.633 0.133 0.000  -0.11
10 Ga 0.133 0.367 0.000  -0.11


This record from Alexandria via LeMat-Bulk describes a geometry-optimized SrGa3Fe structure. The functional is PBE.

Calculated values
DFT formation energy in eV per atom: 1.498

abc: 5.658 5.658 5.658
angles: 90.00 90.00 90.00
Each line ends with the local moment (μB).
Positions (direct):
1 Sr 0.000 0.000 0.000  -0.02
2 Fe 0.500 0.500 0.500  3.34
3 Ga 0.000 0.500 0.000  -0.03
4 Ga 0.000 0.000 0.500  -0.01
5 Ga 0.500 0.000 0.000  -0.02


This record from Alexandria via LeMat-Bulk describes a geometry-optimized SrTlGa2Fe structure. The functional is PBE.

Calculated values
DFT formation energy in eV per atom: -0.160

abc: 4.727 4.727 5.083
angles: 90.00 90.00 90.00
Each line ends with the local moment (μB).
Positions (direct):
1 Sr 0.500 0.500 0.500  0.04
2 Tl 0.000 0.000 0.500  -0.01
3 Fe 0.000 0.000 0.000  1.00
4 Ga 0.000 0.500 0.000  -0.04
5 Ga 0.500 0.000 0.000  -0.04


This record from Alexandria via LeMat-Bulk describes a geometry-optimized SrZnGa2Fe structure. The functional is PBE.

Calculated values
DFT formation energy in eV per atom: -0.266

abc: 4.621 4.621 4.769
angles: 90.00 90.00 90.00
Positions (direct):
1 Sr 0.500 0.500 0.500
2 Zn 0.000 0.000 0.500
3 Fe 0.000 0.000 0.000
4 Ga 0.000 0.500 0.000
5 Ga 0.500 0.000 0.000


This record from Alexandria via LeMat-Bulk describes a geometry-optimized SrZnGaFe2 structure. The functional is PBE.

Calculated values
DFT formation energy in eV per atom: 0.504

abc: 4.681 4.643 4.681
angles: 90.00 90.00 90.00
Each line ends with the local moment (μB).
Positions (direct):
1 Sr 0.500 0.500 0.500  -0.09
2 Zn 0.000 0.500 0.000  -0.02
3 Fe 0.000 0.000 0.500  2.73
4 Fe 0.500 0.000 0.000  2.67
5 Ga 0.000 0.000 0.000  -0.07


This record from Alexandria via LeMat-Bulk describes a geometry-optimized SrZn2GaFe structure. The functional is PBE.

Calculated values
DFT formation energy in eV per atom: -0.134

abc: 4.724 4.724 4.602
angles: 90.00 90.00 90.00
Each line ends with the local moment (μB).
Positions (direct):
1 Sr 0.500 0.500 0.500  -0.01
2 Zn 0.000 0.500 0.000  -0.01
3 Zn 0.500 0.000 0.000  -0.01
4 Fe 0.000 0.000 0.000  0.16
5 Ga 0.000 0.000 0.500  -0.01


This record from Alexandria via LeMat-Bulk describes a geometry-optimized TaGaFe2 structure. The functional is PBE.

Calculated values
DFT formation energy in eV per atom: -0.238

abc: 3.089 4.103 4.103
angles: 90.00 90.00 90.00
Positions (direct):
1 Fe 0.000 0.000 0.500
2 Fe 0.000 0.500 0.000
3 Ga 0.500 0.000 0.000
4 Ta 0.500 0.500 0.500


This record from Alexandria via LeMat-Bulk describes a geometry-optimized Ta3GaFe structure. The functional is PBE.

Calculated values
DFT formation energy in eV per atom: 0.633

abc: 4.571 4.571 4.571
angles: 90.00 90.00 90.00
Positions (direct):
1 Fe 0.000 0.000 0.000
2 Ga 0.500 0.500 0.500
3 Ta 0.000 0.500 0.000
4 Ta 0.000 0.000 0.500
5 Ta 0.500 0.000 0.000


This record from Alexandria via LeMat-Bulk describes a geometry-optimized TaGa2Fe structure. The functional is PBE.

Calculated values
DFT formation energy in eV per atom: -0.108

abc: 3.921 3.902 3.902
angles: 90.00 90.00 90.00
Each line ends with the local moment (μB).
Positions (direct):
1 Fe 0.500 0.000 0.000  2.40
2 Ga 0.000 0.000 0.500  -0.01
3 Ga 0.000 0.500 0.000  -0.01
4 Ta 0.500 0.500 0.500  -0.04


This record from Alexandria via LeMat-Bulk describes a geometry-optimized Ta12Ga6Fe structure. The functional is PBE.

Calculated values
DFT formation energy in eV per atom: 0.357

abc: 7.244 7.244 7.244
angles: 99.92 99.92 99.92
Positions (direct):
1 Ta 0.791 0.595 0.491
2 Ta 0.491 0.791 0.595
3 Ta 0.595 0.491 0.791
4 Ta 0.209 0.405 0.509
5 Ta 0.509 0.209 0.405
6 Ta 0.405 0.509 0.209
7 Ta 0.077 0.022 0.332
8 Ta 0.978 0.668 0.923
9 Ta 0.668 0.923 0.978
10 Ta 0.923 0.978 0.668
11 Ta 0.022 0.332 0.077
12 Ta 0.332 0.077 0.022
13 Ga 0.670 0.888 0.325
14 Ga 0.675 0.330 0.112
15 Ga 0.112 0.675 0.330
16 Ga 0.330 0.112 0.675
17 Ga 0.325 0.670 0.888
18 Ga 0.888 0.325 0.670
19 Fe 0.000 0.000 0.000


This record from Alexandria via LeMat-Bulk describes a geometry-optimized Ta2Ga4Fe structure. The functional is PBE.

Calculated values
DFT formation energy in eV per atom: 0.024

abc: 2.899 6.044 7.194
angles: 113.66 101.62 90.00
Each line ends with the local moment (μB).
Positions (direct):
1 Ta 0.775 0.760 0.549  -0.04
2 Ta 0.225 0.240 0.451  -0.04
3 Ga 0.895 0.238 0.789  -0.01
4 Ga 0.105 0.762 0.211  -0.01
5 Ga 0.584 0.357 0.167  -0.04
6 Ga 0.416 0.643 0.833  -0.04
7 Fe 0.000 0.000 0.000  1.41


This record from Alexandria via LeMat-Bulk describes a geometry-optimized TaGaFe4 structure. The functional is PBE.

Calculated values
DFT formation energy in eV per atom: -0.156

abc: 4.774 4.774 4.774
angles: 60.00 60.00 60.00
Each line ends with the local moment (μB).
Positions (direct):
1 Fe 0.625 0.625 0.125  1.85
2 Fe 0.625 0.125 0.625  1.85
3 Fe 0.625 0.625 0.625  1.85
4 Fe 0.125 0.625 0.625  1.85
5 Ga 0.000 0.000 0.000  -0.04
6 Ta 0.250 0.250 0.250  -0.47


This record from Alexandria via LeMat-Bulk describes a geometry-optimized Ta6GaFe structure. The functional is PBE.

Calculated values
DFT formation energy in eV per atom: -0.084

abc: 7.262 7.260 5.137
angles: 45.01 44.99 59.98
Positions (direct):
1 Ta 0.000 0.500 0.746
2 Ta 0.754 0.000 0.746
3 Ta 0.500 0.246 0.254
4 Ta 0.246 0.000 0.254
5 Ta 0.000 0.500 0.254
6 Ta 0.500 0.754 0.746
7 Ga 0.500 0.500 0.500
8 Fe 0.000 0.000 0.000